Model a:
The following is a GGA-PBE calculation of an optimized crystal structure of Cd3HgP, from the Alexandria database.

a = 5.386 Å, b = 5.386 Å, c = 5.386 Å
α = 90.00°, β = 90.00°, γ = 90.00°
Atoms (fractional coordinates):
Cd 0.000 0.000 0.500
Cd 0.000 0.500 0.000
Cd 0.500 0.000 0.000
Hg 0.000 0.000 0.000
P 0.500 0.500 0.500

As for the space group: Pm-3m (221). The density of states at the Fermi level comes out at 0.864 states/eV per atom. Its crystal system is cubic. The calculated density comes out at 6044 kg/m3.



Model b:
The following is a GGA-PBE calculation of an optimized crystal structure of Cd3HgP, from the Alexandria database.

a = 5.246 Å, b = 5.246 Å, c = 5.246 Å
α = 90.00°, β = 90.00°, γ = 90.00°
Atoms (fractional coordinates):
Cd 0.000 0.000 0.500
Cd 0.000 0.500 0.000
Cd 0.500 0.000 0.000
Hg 0.500 0.500 0.500
P 0.000 0.000 0.000

As for the space group: Pm-3m (221). The density of states at the Fermi level comes out at 0.398 states/eV per atom. Its crystal system is cubic. The calculated density comes out at 6542 kg/m3.



Going by the computed energies, the most stable comes first: model b, model a.



Model a:
The following is a GGA-PBE calculation of an optimized crystal structure of PaCdHg4, from the Alexandria database.

a = 6.665 Å, b = 6.665 Å, c = 7.141 Å
α = 105.41°, β = 105.41°, γ = 28.51°
Atoms (fractional coordinates):
Pa 0.000 0.000 0.000
Cd 0.000 0.000 0.500
Hg 0.333 0.333 0.174
Hg 0.333 0.333 0.662
Hg 0.667 0.667 0.338
Hg 0.667 0.667 0.826

As for the space group: C2/m (12). The density of states at the Fermi level comes out at 1.041 states/eV per atom. Its crystal system is monoclinic. The calculated density comes out at 13065 kg/m3.



Model b:
The following is a GGA-PBE calculation of an optimized crystal structure of PaCdHg4, from the Alexandria database.

a = 3.079 Å, b = 5.096 Å, c = 9.146 Å
α = 90.00°, β = 90.11°, γ = 90.00°
Atoms (fractional coordinates):
Pa 0.000 0.000 0.000
Cd 0.000 0.500 0.500
Hg 0.499 0.000 0.664
Hg 0.499 0.500 0.832
Hg 0.501 0.000 0.336
Hg 0.501 0.500 0.168

As for the space group: P2/m (10). The density of states at the Fermi level comes out at 0.961 states/eV per atom. Its crystal system is monoclinic. The calculated density comes out at 13260 kg/m3.



Going by the computed energies, the most stable comes first: model b, model a.



Model a:
The following is a GGA-PBE calculation of an optimized crystal structure of Cd4Hg4Pb, from the Alexandria database.

a = 8.052 Å, b = 8.052 Å, c = 7.734 Å
α = 90.00°, β = 90.00°, γ = 90.00°
Atoms (fractional coordinates):
Cd 0.056 0.250 0.006
Cd 0.250 0.056 0.506
Cd 0.250 0.444 0.506
Cd 0.444 0.250 0.006
Cd 0.556 0.750 0.994
Cd 0.750 0.556 0.494
Cd 0.750 0.944 0.494
Cd 0.944 0.750 0.994
Hg 0.034 0.750 0.618
Hg 0.250 0.534 0.882
Hg 0.250 0.966 0.882
Hg 0.466 0.750 0.618
Hg 0.534 0.250 0.382
Hg 0.750 0.034 0.118
Hg 0.750 0.466 0.118
Hg 0.966 0.250 0.382
Pb 0.250 0.750 0.250
Pb 0.750 0.250 0.750

As for the space group: P4_2/nmc (137). The density of states at the Fermi level comes out at 0.421 states/eV per atom. Its crystal system is tetragonal. The calculated density comes out at 9664 kg/m3.



Model b:
The following is a GGA-PBE calculation of an optimized crystal structure of Cd4Hg4Pb, from the Alexandria database.

a = 7.368 Å, b = 7.368 Å, c = 7.368 Å
α = 95.45°, β = 95.45°, γ = 144.11°
Atoms (fractional coordinates):
Cd 0.000 0.341 0.341
Cd 0.000 0.659 0.659
Cd 0.341 0.000 0.341
Cd 0.659 0.000 0.659
Hg 0.327 0.327 0.655
Hg 0.327 0.673 0.000
Hg 0.673 0.327 0.000
Hg 0.673 0.673 0.345
Pb 0.000 0.000 0.000

As for the space group: I4/mmm (139). The density of states at the Fermi level comes out at 0.312 states/eV per atom. Its crystal system is tetragonal. The calculated density comes out at 10863 kg/m3.



Going by the computed energies, the most stable comes first: model b, model a.



Model a:
The following is a GGA-PBE calculation of an optimized crystal structure of CdHg4Pb, from the Alexandria database.

a = 5.745 Å, b = 6.604 Å, c = 8.657 Å
α = 98.43°, β = 90.79°, γ = 98.93°
Atoms (fractional coordinates):
Cd 0.235 0.353 0.227
Cd 0.765 0.647 0.773
Hg 0.234 0.172 0.576
Hg 0.245 0.030 0.912
Hg 0.254 0.531 0.919
Hg 0.258 0.865 0.245
Hg 0.742 0.135 0.755
Hg 0.746 0.469 0.081
Hg 0.755 0.970 0.088
Hg 0.766 0.828 0.424
Pb 0.263 0.666 0.577
Pb 0.737 0.334 0.423

As for the space group: P-1 (2). The density of states at the Fermi level comes out at 0.205 states/eV per atom. Its crystal system is triclinic. The calculated density comes out at 11617 kg/m3.



Model b:
The following is a GGA-PBE calculation of an optimized crystal structure of CdHg4Pb, from the Alexandria database.

a = 8.650 Å, b = 8.650 Å, c = 10.302 Å
α = 90.00°, β = 90.00°, γ = 155.59°
Atoms (fractional coordinates):
Cd 0.209 0.791 0.500
Cd 0.791 0.209 0.000
Hg 0.017 0.983 0.761
Hg 0.137 0.863 0.991
Hg 0.320 0.680 0.235
Hg 0.469 0.531 0.013
Hg 0.531 0.469 0.513
Hg 0.680 0.320 0.735
Hg 0.863 0.137 0.491
Hg 0.983 0.017 0.261
Pb 0.354 0.646 0.760
Pb 0.646 0.354 0.260

As for the space group: Cmc2_1 (36). The density of states at the Fermi level comes out at 0.338 states/eV per atom. Its crystal system is orthorhombic. The calculated density comes out at 11697 kg/m3.



Going by the computed energies, the most stable comes first: model a, model b.



Model a:
The following is a GGA-PBE calculation of an optimized crystal structure of Cd2Hg7Pb, from the Alexandria database.

a = 9.731 Å, b = 9.731 Å, c = 3.256 Å
α = 90.00°, β = 90.00°, γ = 110.13°
Atoms (fractional coordinates):
Cd 0.175 0.825 0.000
Cd 0.825 0.175 0.000
Hg 0.145 0.360 0.000
Hg 0.331 0.669 0.500
Hg 0.360 0.145 0.000
Hg 0.500 0.500 0.000
Hg 0.640 0.855 0.000
Hg 0.669 0.331 0.500
Hg 0.855 0.640 0.000
Pb 0.000 0.000 0.500

As for the space group: Cmmm (65). The density of states at the Fermi level comes out at 0.338 states/eV per atom. Its crystal system is orthorhombic. The calculated density comes out at 10532 kg/m3.



Model b:
The following is a GGA-PBE calculation of an optimized crystal structure of Cd2Hg7Pb, from the Alexandria database.

a = 11.875 Å, b = 11.875 Å, c = 3.146 Å
α = 90.00°, β = 90.00°, γ = 139.32°
Atoms (fractional coordinates):
Cd 0.186 0.814 0.000
Cd 0.814 0.186 0.000
Hg 0.000 0.000 0.000
Hg 0.169 0.370 0.000
Hg 0.303 0.697 0.500
Hg 0.370 0.169 0.000
Hg 0.630 0.831 0.000
Hg 0.697 0.303 0.500
Hg 0.831 0.630 0.000
Pb 0.500 0.500 0.500

As for the space group: Cmmm (65). The density of states at the Fermi level comes out at 0.275 states/eV per atom. Its crystal system is orthorhombic. The calculated density comes out at 10543 kg/m3.



Going by the computed energies, the most stable comes first: model b, model a.



Model a:
The following is a GGA-PBE calculation of an optimized crystal structure of Cd3Hg8Pb2, from the Alexandria database.

a = 10.582 Å, b = 3.292 Å, c = 10.652 Å
α = 90.00°, β = 109.68°, γ = 90.00°
Atoms (fractional coordinates):
Cd 0.000 0.000 0.000
Cd 0.236 0.500 0.343
Cd 0.764 0.500 0.657
Hg 0.063 0.500 0.781
Hg 0.152 0.000 0.549
Hg 0.305 0.000 0.129
Hg 0.456 0.500 0.626
Hg 0.544 0.500 0.374
Hg 0.695 0.000 0.871
Hg 0.848 0.000 0.451
Hg 0.937 0.500 0.219
Pb 0.360 0.000 0.859
Pb 0.640 0.000 0.141

As for the space group: P2/m (10). The density of states at the Fermi level comes out at 0.345 states/eV per atom. Its crystal system is monoclinic. The calculated density comes out at 11199 kg/m3.



Model b:
The following is a GGA-PBE calculation of an optimized crystal structure of Cd3Hg8Pb2, from the Alexandria database.

a = 8.703 Å, b = 8.703 Å, c = 6.123 Å
α = 90.97°, β = 90.97°, γ = 52.69°
Atoms (fractional coordinates):
Cd 0.000 0.000 0.000
Cd 0.195 0.805 0.500
Cd 0.805 0.195 0.500
Hg 0.177 0.177 0.570
Hg 0.211 0.591 0.904
Hg 0.377 0.377 0.436
Hg 0.409 0.789 0.096
Hg 0.591 0.211 0.904
Hg 0.623 0.623 0.564
Hg 0.789 0.409 0.096
Hg 0.823 0.823 0.430
Pb 0.232 0.232 0.063
Pb 0.768 0.768 0.937

As for the space group: C2/m (12). The density of states at the Fermi level comes out at 0.333 states/eV per atom. Its crystal system is monoclinic. The calculated density comes out at 10609 kg/m3.



Going by the computed energies, the most stable comes first: model a, model b.